Record 1
Below is a relaxed structure of Ba2CuSb2, with properties calculated at the PBE-GGA level.

Cell and atoms, written as CIF:
```
data_Ba2CuSb2
_chemical_formula_sum 'Ba4 Cu2 Sb4'
_symmetry_space_group_name_H-M 'P 4/m b m'
_symmetry_Int_Tables_number 127
_symmetry_space_group_name_Hall '-P 4 2ab'
_cell_length_a 7.827
_cell_length_b 7.827
_cell_length_c 5.355
_cell_angle_alpha 90.00
_cell_angle_beta 90.00
_cell_angle_gamma 90.00
loop_
_atom_site_label
_atom_site_fract_x
_atom_site_fract_y
_atom_site_fract_z
_atom_site_occupancy
Ba1 0.175 0.325 0.000 1
Cu1 0.000 0.000 0.500 1
Sb1 0.135 0.635 0.500 1
```

The size of the total moment comes out at 0.00 μB/f.u. As for the final energy: -3.73 eV per atom. The uncorrected formation energy is -0.495 eV per atom. The energy above the most stable polymorph in this dataset comes out at 287 meV per atom.


Record 2
Below is a relaxed structure of PaMn2Nb, with properties calculated at the PBE-GGA level.

Cell and atoms, written as CIF:
```
data_PaMn2Nb
_chemical_formula_sum 'Pa1 Mn2 Nb1'
_symmetry_space_group_name_H-M 'P 4/m m m'
_symmetry_Int_Tables_number 123
_symmetry_space_group_name_Hall '-P 4 2'
_cell_length_a 3.082
_cell_length_b 3.082
_cell_length_c 6.820
_cell_angle_alpha 90.00
_cell_angle_beta 90.00
_cell_angle_gamma 90.00
loop_
_atom_site_label
_atom_site_fract_x
_atom_site_fract_y
_atom_site_fract_z
_atom_site_occupancy
Pa1 0.000 0.000 0.000 1
Mn1 0.500 0.500 0.282 1
Nb1 0.000 0.000 0.500 1
```

The size of the total moment comes out at 0.00 μB/f.u. The formation energy from the elements comes out at 0.365 eV per formula unit. As for the final energy: -9.39 eV per atom. The energy above the most stable polymorph in this dataset comes out at 11 meV per atom.


Record 3
Below is a relaxed structure of HfTiAs3, with properties calculated at the PBE-GGA level.

Cell and atoms, written as CIF:
```
data_HfTiAs3
_chemical_formula_sum 'Hf1 Ti1 As3'
_symmetry_space_group_name_H-M 'P m -3 m'
_symmetry_Int_Tables_number 221
_symmetry_space_group_name_Hall '-P 4 2 3'
_cell_length_a 4.803
_cell_length_b 4.803
_cell_length_c 4.803
_cell_angle_alpha 90.00
_cell_angle_beta 90.00
_cell_angle_gamma 90.00
loop_
_atom_site_label
_atom_site_fract_x
_atom_site_fract_y
_atom_site_fract_z
_atom_site_occupancy
Hf1 0.000 0.000 0.000 1
Ti1 0.500 0.500 0.500 1
As1 0.000 0.500 0.500 1
```

The size of the total moment comes out at 0.00 μB/f.u. The formation energy from the elements comes out at 1.027 eV per formula unit. As for the final energy: -6.15 eV per atom. The energy above the most stable polymorph in this dataset comes out at 0 meV per atom.


Record 4
Below is a relaxed structure of Fe3Ir, with properties calculated at the PBE-GGA level.

Cell and atoms, written as CIF:
```
data_Fe3Ir
_chemical_formula_sum 'Fe3 Ir1'
_symmetry_space_group_name_H-M 'P m -3 m'
_symmetry_Int_Tables_number 221
_symmetry_space_group_name_Hall '-P 4 2 3'
_cell_length_a 3.657
_cell_length_b 3.657
_cell_length_c 3.657
_cell_angle_alpha 90.00
_cell_angle_beta 90.00
_cell_angle_gamma 90.00
loop_
_atom_site_label
_atom_site_fract_x
_atom_site_fract_y
_atom_site_fract_z
_atom_site_occupancy
Fe1 0.000 0.000 0.500 1
Ir1 0.500 0.500 0.500 1
```

The size of the total moment comes out at 6.38 μB/f.u. The formation energy from the elements comes out at 0.173 eV per formula unit. As for the final energy: -8.52 eV per atom.


Record 5
Below is a relaxed structure of Ce3P4Pt2, with properties calculated at the PBE-GGA level.

Cell and atoms, written as CIF:
```
data_Ce3P4Pt2
_chemical_formula_sum 'Ce6 P8 Pt4'
_symmetry_space_group_name_H-M 'C 1 2/m 1'
_symmetry_Int_Tables_number 12
_symmetry_space_group_name_Hall '-C 2y'
_cell_length_a 12.861
_cell_length_b 3.957
_cell_length_c 8.425
_cell_angle_alpha 90.00
_cell_angle_beta 122.42
_cell_angle_gamma 90.00
loop_
_atom_site_label
_atom_site_fract_x
_atom_site_fract_y
_atom_site_fract_z
_atom_site_occupancy
Ce1 0.000 0.000 0.000 1
Ce2 0.136 0.500 0.724 1
P1 0.074 0.000 0.394 1
P2 0.182 0.500 0.094 1
Pt1 0.165 0.500 0.365 1
```

The size of the total moment comes out at 0.43 μB/f.u. The formation energy from the elements comes out at -10.719 eV per formula unit. As for the final energy: -6.92 eV per atom. The energy above the most stable polymorph in this dataset comes out at 0 meV per atom.


Record 6
Below is a relaxed structure of PmSm3Pu2S6, with properties calculated at the PBE-GGA level.

Cell and atoms, written as CIF:
```
data_PmSm3Pu2S6
_chemical_formula_sum 'Pm2 Sm6 Pu4 S12'
_symmetry_space_group_name_H-M 'C 1 2/m 1'
_symmetry_Int_Tables_number 12
_symmetry_space_group_name_Hall '-C 2y'
_cell_length_a 6.911
_cell_length_b 11.973
_cell_length_c 6.934
_cell_angle_alpha 90.00
_cell_angle_beta 109.36
_cell_angle_gamma 90.00
loop_
_atom_site_label
_atom_site_fract_x
_atom_site_fract_y
_atom_site_fract_z
_atom_site_occupancy
Pm1 0.000 0.000 0.000 1
Sm1 0.000 0.165 0.500 1
Sm2 0.000 0.500 0.500 1
Pu1 0.000 0.333 0.000 1
S1 0.244 0.500 0.247 1
S2 0.248 0.331 0.753 1
```

The size of the total moment comes out at 11.31 μB/f.u. As for the final energy: -7.99 eV per atom. The uncorrected formation energy is -1.959 eV per atom.


Record 7
Below is a relaxed structure of BeRe2Ni, with properties calculated at the PBE-GGA level.

Cell and atoms, written as CIF:
```
data_BeRe2Ni
_chemical_formula_sum 'Be1 Re2 Ni1'
_symmetry_space_group_name_H-M 'P 1 2/m 1'
_symmetry_Int_Tables_number 10
_symmetry_space_group_name_Hall '-P 2y'
_cell_length_a 2.602
_cell_length_b 3.832
_cell_length_c 5.116
_cell_angle_alpha 90.00
_cell_angle_beta 98.04
_cell_angle_gamma 90.00
loop_
_atom_site_label
_atom_site_fract_x
_atom_site_fract_y
_atom_site_fract_z
_atom_site_occupancy
Be1 0.000 0.000 0.000 1
Re1 0.458 0.500 0.241 1
Ni1 0.000 0.000 0.500 1
```

The size of the total moment comes out at 0.00 μB/f.u. The formation energy from the elements comes out at 0.476 eV per formula unit. As for the final energy: -8.48 eV per atom.


Record 8
Below is a relaxed structure of KNb2AlSe, with properties calculated at the PBE-GGA level.

Cell and atoms, written as CIF:
```
data_KNb2AlSe
_chemical_formula_sum 'K1 Nb2 Al1 Se1'
_symmetry_space_group_name_H-M 'P 4/m m m'
_symmetry_Int_Tables_number 123
_symmetry_space_group_name_Hall '-P 4 2'
_cell_length_a 4.995
_cell_length_b 4.995
_cell_length_c 5.352
_cell_angle_alpha 90.00
_cell_angle_beta 90.00
_cell_angle_gamma 90.00
loop_
_atom_site_label
_atom_site_fract_x
_atom_site_fract_y
_atom_site_fract_z
_atom_site_occupancy
K1 0.000 0.000 0.000 1
Nb1 0.000 0.500 0.500 1
Al1 0.500 0.500 0.500 1
Se1 0.500 0.500 0.000 1
```

The size of the total moment comes out at 3.29 μB/f.u. As for the final energy: -4.56 eV per atom. The uncorrected formation energy is 1.129 eV per atom.


Q: Among the records above, which one has the highest final energy?
A: Ba2CuSb2


Q: The lowest final energy belongs to which entry?
A: PaMn2Nb


Q: Look up the final energy of the fourth one.
A: -8.52 eV per atom